CuPt | PBEsol | relaxed

a = 4.618 Å, b = 5.316 Å, c = 7.089 Å
α = 78.36°, β = 77.20°, γ = 72.32°
Space group P1 (No. 1)
Asymmetric unit:
Cu (0.000, 0.000, 0.000)
Cu (0.001, 0.328, 0.665)
Cu (0.004, 0.161, 0.325)
Cu (0.006, 0.489, 0.002)
Cu (0.512, 0.493, 0.496)
Cu (0.514, 0.326, 0.162)
Pt (0.010, 0.827, 0.665)
Pt (0.015, 0.644, 0.329)
Pt (0.493, 0.171, 0.832)
Pt (0.504, 0.009, 0.491)
Pt (0.508, 0.659, 0.835)
Pt (0.508, 0.827, 0.166)

ρ ... 16.11 g cm⁻³
Uncorrected energy ... -5.75 eV per atom
Formation energy from the elements ... -0.097 eV per atom



Hg2SbAsCl | PBEsol | relaxed

a = 5.551 Å, b = 5.551 Å, c = 5.118 Å
α = 90.00°, β = 90.00°, γ = 90.00°
Space group P4/mmm (No. 123)
Asymmetric unit:
Hg (0.000, 0.500, 0.000)
Sb (0.000, 0.000, 0.000)
As (0.500, 0.500, 0.500)
Cl (0.000, 0.000, 0.500)

E_form (uncorrected) ... 2.31 eV per formula unit
ρ ... 6.67 g cm⁻³
Uncorrected energy ... -2.10 eV per atom



IrCl | PBEsol | relaxed

a = 2.8443 Å, b = 2.8443 Å, c = 4.2430 Å
α = 90.00°, β = 90.00°, γ = 120.00°
Space group P-6m2 (No. 187)
Asymmetric unit:
Ir (0.0000, 0.0000, 0.0000)
Cl (0.6667, 0.3333, 0.5000)

E_form (uncorrected) ... 2.02 eV per formula unit
ρ ... 12.72 g cm⁻³
Uncorrected energy ... -4.91 eV per atom



Be2ZnRu | PBEsol | relaxed

a = 2.896 Å, b = 2.896 Å, c = 5.205 Å
α = 90.00°, β = 90.00°, γ = 90.00°
Space group P4/mmm (No. 123)
Asymmetric unit:
Be (0.000, 0.000, 0.211)
Zn (0.500, 0.500, 0.500)
Ru (0.500, 0.500, 0.000)

ρ ... 7.02 g cm⁻³
Uncorrected energy ... -5.10 eV per atom
Formation energy from the elements ... -0.166 eV per atom



Cs2CeCl6 | PBEsol | relaxed

a = 7.4249 Å, b = 7.4249 Å, c = 5.9976 Å
α = 90.00°, β = 90.00°, γ = 120.00°
Space group P-3m1 (No. 164)
Asymmetric unit:
Cs (0.3333, 0.6667, 0.2359)
Ce (0.0000, 0.0000, 0.5000)
Cl (0.1690, 0.3380, 0.7399)

E_form (uncorrected) ... -18.27 eV per formula unit
ρ ... 3.59 g cm⁻³
Uncorrected energy ... -4.31 eV per atom



PbSeS2Cl | PBEsol | relaxed

a = 5.146 Å, b = 5.146 Å, c = 5.229 Å
α = 90.00°, β = 90.00°, γ = 90.00°
Space group P4/mmm (No. 123)
Asymmetric unit:
Pb (0.000, 0.000, 0.000)
Se (0.500, 0.500, 0.500)
S (0.000, 0.500, 0.000)
Cl (0.000, 0.000, 0.500)

E_form (uncorrected) ... 3.20 eV per formula unit
ρ ... 4.63 g cm⁻³
Uncorrected energy ... -3.08 eV per atom



RbI | PBEsol | relaxed

a = 4.349 Å, b = 4.349 Å, c = 4.349 Å
α = 90.00°, β = 90.00°, γ = 90.00°
Space group Pm-3m (No. 221)
Asymmetric unit:
Rb (0.000, 0.000, 0.000)
I (0.500, 0.500, 0.500)

E_form (uncorrected) ... -2.91 eV per formula unit
ρ ... 4.29 g cm⁻³
Uncorrected energy ... -2.85 eV per atom



La2ZrCo | PBEsol | relaxed

a = 3.6505 Å, b = 3.6505 Å, c = 26.8440 Å
α = 90.00°, β = 90.00°, γ = 120.00°
Space group R3m (No. 160, hexagonal axes)
Asymmetric unit:
La (0.0000, 0.0000, 0.0000)
La (0.0000, 0.0000, 0.2142)
Zr (0.0000, 0.0000, 0.4467)
Co (0.0000, 0.0000, 0.7293)

ρ ... 6.88 g cm⁻³
Uncorrected energy ... -6.81 eV per atom
Formation energy from the elements ... 0.066 eV per atom